A plane-wave DFT calculation with GGA-PBEsol was carried out for an optimized crystal structure of Na2Hg2Pd.

Summary:
Calculated formation energy in meV/atom: 139
Space group: I4/mmm (139)
Total moment in μB/cell: 0.000
Energy relative to the lowest polymorph listed for this composition in eV/f.u.: 1.45

Unit cell a=3.8243 b=3.8243 c=7.7577 alpha=104.27 beta=104.27 gamma=90.00
Closest atoms and distances in Å follow each position.
Element x y z (fractional)
Na 0.2500 0.7500 0.5000  4 Na 2.70, 4 Hg 2.97
Na 0.7500 0.2500 0.5000  4 Na 2.70, 4 Hg 2.97
Hg 0.4067 0.4067 0.8134  1 Hg 2.71, 4 Na 2.97, 4 Pd 3.03
Hg 0.5933 0.5933 0.1866  1 Hg 2.71, 4 Na 2.97, 4 Pd 3.03
Pd 0.0000 0.0000 0.0000  8 Hg 3.03